VASP calculation (GGA-PBE) on Th4GeSb after structural relaxation.

Properties
Volume, A^3/atom: 29.47
ρ, g/cm³: 10.54
Raw total energy, eV per atom: -6.88

abc: 6.0692 8.7622 8.3346
angles: 113.52 100.45 110.34
Fractional coordinates of all 12 atoms:
Th 0.0676 0.2101 0.8321
Th 0.7732 0.7218 0.6271
Th 0.2644 0.6219 0.8321
Th 0.3538 0.9053 0.6271
Th 0.6462 0.0947 0.3729
Th 0.7356 0.3781 0.1679
Th 0.2268 0.2782 0.3729
Th 0.9324 0.7899 0.1679
Ge 0.2517 0.0017 0.0033
Ge 0.7483 0.9983 0.9967
Sb 0.3659 0.6159 0.2317
Sb 0.6341 0.3841 0.7683